A relaxed structure of CrPtOF2, computed with GGA+U.

Distance to the lowest polymorph of the same formula ... 47 kJ/mol of formula units
Spin magnetization ... 4.1 μB/f.u.
Total energy ... -25.28 eV/f.u.
D(E_F) ... 0.5897 states/eV/atom

a b c (Å): 4.4394 4.4394 3.8307
angles (deg): 90.00 90.00 90.00
Last column: nearest neighbours and their distance in Å.
Atoms (fractional coordinates):
F 0.0000 0.5000 0.0000  2 Pt 2.22
F 0.5000 0.0000 0.0000  2 Pt 2.22
O 0.0000 0.0000 0.5000  2 Pt 1.92
Pt 0.0000 0.0000 0.0000  2 O 1.92
Cr 0.5000 0.5000 0.5000  8 F 2.93, 4 O 3.14